No. 1
# RbTiN2, optimized geometry, DFT PBE-GGA
data_RbTiN2
_chemical_formula_sum 'Rb4 Ti4 N8'
_space_group_name_H-M_alt 'I -4 2 d'
_space_group_IT_number 122
_space_group_name_Hall 'I -4 2bw'
_cell_length_a 6.036
_cell_length_b 6.036
_cell_length_c 8.736
_cell_angle_alpha 90.00
_cell_angle_beta 90.00
_cell_angle_gamma 90.00
loop_
_atom_site_label
_atom_site_type_symbol
_atom_site_fract_x
_atom_site_fract_y
_atom_site_fract_z
Rb1 Rb 0.000 0.000 0.000
Ti1 Ti 0.000 0.000 0.500
N1 N 0.066 0.250 0.625
# - Uncorrected formation energy: -586 meV/atom

***

No. 2
# LaPr2GaN, optimized geometry, DFT PBE-GGA
data_LaPr2GaN
_chemical_formula_sum 'La1 Pr2 Ga1 N1'
_space_group_name_H-M_alt 'P 4/m m m'
_space_group_IT_number 123
_space_group_name_Hall '-P 4 2'
_cell_length_a 5.050
_cell_length_b 5.050
_cell_length_c 5.020
_cell_angle_alpha 90.00
_cell_angle_beta 90.00
_cell_angle_gamma 90.00
loop_
_atom_site_label
_atom_site_type_symbol
_atom_site_fract_x
_atom_site_fract_y
_atom_site_fract_z
La1 La 0.000 0.000 0.000
Pr1 Pr 0.000 0.500 0.500
Ga1 Ga 0.500 0.500 0.000
N1 N 0.000 0.000 0.500
# - Uncorrected formation energy: -791 meV/atom

***

No. 3
# Rb5Hg2Au5, optimized geometry, DFT PBE-GGA
data_Rb5Hg2Au5
_chemical_formula_sum 'Rb10 Hg4 Au10'
_space_group_name_H-M_alt 'C 1 2/m 1'
_space_group_IT_number 12
_cell_length_a 17.503
_cell_length_b 4.726
_cell_length_c 13.174
_cell_angle_alpha 90.00
_cell_angle_beta 126.81
_cell_angle_gamma 90.00
loop_
_space_group_symop_operation_xyz
'x,y,z'
'-x,-y,-z'
'-x,y,-z'
'x,-y,z'
'x+1/2,y+1/2,z'
'-x+1/2,-y+1/2,-z'
'-x+1/2,y+1/2,-z'
'x+1/2,-y+1/2,z'
loop_
_atom_site_label
_atom_site_type_symbol
_atom_site_fract_x
_atom_site_fract_y
_atom_site_fract_z
Rb1 Rb 0.000 0.000 0.000
Rb2 Rb 0.132 0.500 0.823
Rb3 Rb 0.191 0.500 0.596
Hg1 Hg 0.107 0.500 0.271
Au1 Au 0.000 0.000 0.500
Au2 Au 0.059 0.000 0.347
Au3 Au 0.193 0.500 0.136
# - Calculated formation energy: -0.2772 eV per atom

***

No. 4
# CaPrO2, optimized geometry, DFT PBE-GGA
data_CaPrO2
_chemical_formula_sum 'Ca3 Pr3 O6'
_space_group_name_H-M_alt 'R -3 m'
_space_group_IT_number 166
_space_group_name_Hall '-R 3 2"'
_cell_length_a 3.4737
_cell_length_b 3.4737
_cell_length_c 17.6595
_cell_angle_alpha 90.00
_cell_angle_beta 90.00
_cell_angle_gamma 120.00
loop_
_atom_site_label
_atom_site_type_symbol
_atom_site_fract_x
_atom_site_fract_y
_atom_site_fract_z
Ca1 Ca 0.0000 0.0000 0.0000
Pr1 Pr 0.0000 0.0000 0.5000
O1 O 0.0000 0.0000 0.2559
# - Uncorrected formation energy: -2784 meV/atom

***

No. 5
# VFeW, optimized geometry, DFT PBE-GGA
data_VFeW
_chemical_formula_sum 'V2 Fe2 W2'
_space_group_name_H-M_alt 'I 4 m m'
_space_group_IT_number 107
_space_group_name_Hall 'I 4 -2'
_cell_length_a 2.528
_cell_length_b 2.528
_cell_length_c 14.410
_cell_angle_alpha 90.00
_cell_angle_beta 90.00
_cell_angle_gamma 90.00
loop_
_atom_site_label
_atom_site_type_symbol
_atom_site_fract_x
_atom_site_fract_y
_atom_site_fract_z
V1 V 0.000 0.000 0.000
Fe1 Fe 0.000 0.000 0.836
W1 W 0.000 0.000 0.658
# - Calculated formation energy: 0.7809 eV per atom

***

No. 6
# ZrCd2Pd6, optimized geometry, DFT PBE-GGA
data_ZrCd2Pd6
_chemical_formula_sum 'Zr2 Cd4 Pd12'
_space_group_name_H-M_alt 'C 1 2/m 1'
_space_group_IT_number 12
_cell_length_a 14.321
_cell_length_b 7.776
_cell_length_c 2.918
_cell_angle_alpha 90.00
_cell_angle_beta 101.08
_cell_angle_gamma 90.00
loop_
_space_group_symop_operation_xyz
'x,y,z'
'-x,-y,-z'
'-x,y,-z'
'x,-y,z'
'x+1/2,y+1/2,z'
'-x+1/2,-y+1/2,-z'
'-x+1/2,y+1/2,-z'
'x+1/2,-y+1/2,z'
loop_
_atom_site_label
_atom_site_type_symbol
_atom_site_fract_x
_atom_site_fract_y
_atom_site_fract_z
Zr1 Zr 0.000 0.000 0.000
Cd1 Cd 0.168 0.500 0.650
Pd1 Pd 0.000 0.306 0.500
Pd2 Pd 0.164 0.188 0.154
# - Calculated formation energy: -0.3211 eV per atom

***

No. 7
# FeCo5Os, optimized geometry, DFT PBE-GGA
data_FeCo5Os
_chemical_formula_sum 'Fe4 Co20 Os4'
_space_group_name_H-M_alt 'P n m a'
_space_group_IT_number 62
_cell_length_a 7.576
_cell_length_b 4.583
_cell_length_c 9.779
_cell_angle_alpha 90.00
_cell_angle_beta 90.00
_cell_angle_gamma 90.00
loop_
_space_group_symop_operation_xyz
'x,y,z'
'-x,-y,-z'
'-x+1/2,-y,z+1/2'
'x+1/2,y,-z+1/2'
'x+1/2,-y+1/2,-z+1/2'
'-x+1/2,y+1/2,z+1/2'
'-x,y+1/2,-z'
'x,-y+1/2,z'
loop_
_atom_site_label
_atom_site_type_symbol
_atom_site_fract_x
_atom_site_fract_y
_atom_site_fract_z
Fe1 Fe 0.241 0.250 0.065
Co1 Co 0.051 0.750 0.081
Co2 Co 0.067 0.006 0.310
Co3 Co 0.102 0.250 0.522
Co4 Co 0.189 0.250 0.753
Os1 Os 0.136 0.750 0.847
# - Calculated formation energy: 0.2670 eV per atom

***

No. 8
# SrAl2Zn, optimized geometry, DFT PBE-GGA
data_SrAl2Zn
_chemical_formula_sum 'Sr2 Al4 Zn2'
_space_group_name_H-M_alt 'I m m m'
_space_group_IT_number 71
_space_group_name_Hall '-I 2 2'
_cell_length_a 3.683
_cell_length_b 5.076
_cell_length_c 10.068
_cell_angle_alpha 90.00
_cell_angle_beta 90.00
_cell_angle_gamma 90.00
loop_
_atom_site_label
_atom_site_type_symbol
_atom_site_fract_x
_atom_site_fract_y
_atom_site_fract_z
Sr1 Sr 0.000 0.000 0.000
Al1 Al 0.000 0.500 0.217
Zn1 Zn 0.000 0.000 0.500
# - Calculated formation energy: 0.0933 eV per atom

***

No. 9
# Na3ErPa2Te6, optimized geometry, DFT PBE-GGA
data_Na3ErPa2Te6
_chemical_formula_sum 'Na6 Er2 Pa4 Te12'
_space_group_name_H-M_alt 'C 1 2/m 1'
_space_group_IT_number 12
_cell_length_a 7.530
_cell_length_b 13.043
_cell_length_c 8.154
_cell_angle_alpha 90.00
_cell_angle_beta 107.93
_cell_angle_gamma 90.00
loop_
_space_group_symop_operation_xyz
'x,y,z'
'-x,-y,-z'
'-x,y,-z'
'x,-y,z'
'x+1/2,y+1/2,z'
'-x+1/2,-y+1/2,-z'
'-x+1/2,y+1/2,-z'
'x+1/2,-y+1/2,z'
loop_
_atom_site_label
_atom_site_type_symbol
_atom_site_fract_x
_atom_site_fract_y
_atom_site_fract_z
Na1 Na 0.000 0.000 0.000
Na2 Na 0.000 0.333 0.000
Er1 Er 0.000 0.500 0.500
Pa1 Pa 0.000 0.167 0.500
Te1 Te 0.244 0.335 0.737
Te2 Te 0.250 0.000 0.737
# - Uncorrected formation energy: -985 meV/atom

***

No. 10
# K2CaAlP2, optimized geometry, DFT PBE-GGA
data_K2CaAlP2
_chemical_formula_sum 'K8 Ca4 Al4 P8'
_space_group_name_H-M_alt 'I b a m'
_space_group_IT_number 72
_space_group_name_Hall '-I 2 2c'
_cell_length_a 6.923
_cell_length_b 15.114
_cell_length_c 6.619
_cell_angle_alpha 90.00
_cell_angle_beta 90.00
_cell_angle_gamma 90.00
loop_
_atom_site_label
_atom_site_type_symbol
_atom_site_fract_x
_atom_site_fract_y
_atom_site_fract_z
K1 K 0.195 0.190 0.000
Ca1 Ca 0.000 0.500 0.250
Al1 Al 0.000 0.000 0.250
P1 P 0.204 0.079 0.500
# - Calculated formation energy: -0.5345 eV per atom

***

No. 11
# Mo3SeBr7, optimized geometry, DFT PBE-GGA
data_Mo3SeBr7
_chemical_formula_sum 'Mo6 Se2 Br14'
_space_group_name_H-M_alt 'C 1 m 1'
_space_group_IT_number 8
_cell_length_a 12.145
_cell_length_b 7.085
_cell_length_c 9.193
_cell_angle_alpha 90.00
_cell_angle_beta 129.13
_cell_angle_gamma 90.00
loop_
_space_group_symop_operation_xyz
'x,y,z'
'x,-y,z'
'x+1/2,y+1/2,z'
'x+1/2,-y+1/2,z'
loop_
_atom_site_label
_atom_site_type_symbol
_atom_site_fract_x
_atom_site_fract_y
_atom_site_fract_z
Mo1 Mo 0.000 0.000 0.000
Mo2 Mo 0.197 0.204 0.998
Se1 Se 0.008 0.000 0.737
Br1 Br 0.034 0.500 0.800
Br2 Br 0.165 0.247 0.245
Br3 Br 0.290 0.248 0.803
Br4 Br 0.387 0.500 0.186
Br5 Br 0.407 0.000 0.240
# - Uncorrected formation energy: -570 meV/atom

***

No. 12
# Rb2GaAuI, optimized geometry, DFT PBE-GGA
data_Rb2GaAuI
_chemical_formula_sum 'Rb2 Ga1 Au1 I1'
_space_group_name_H-M_alt 'P 4/m m m'
_space_group_IT_number 123
_space_group_name_Hall '-P 4 2'
_cell_length_a 6.759
_cell_length_b 6.759
_cell_length_c 4.869
_cell_angle_alpha 90.00
_cell_angle_beta 90.00
_cell_angle_gamma 90.00
loop_
_atom_site_label
_atom_site_type_symbol
_atom_site_fract_x
_atom_site_fract_y
_atom_site_fract_z
Rb1 Rb 0.000 0.500 0.000
Ga1 Ga 0.000 0.000 0.500
Au1 Au 0.000 0.000 0.000
I1 I 0.500 0.500 0.500
# - Uncorrected formation energy: -555 meV/atom

***

No. 13
# Hf3NiSn, optimized geometry, DFT PBE-GGA
data_Hf3NiSn
_chemical_formula_sum 'Hf6 Ni2 Sn2'
_space_group_name_H-M_alt 'P 63/m m c'
_space_group_IT_number 194
_space_group_name_Hall '-P 6c 2c'
_cell_length_a 6.7078
_cell_length_b 6.7078
_cell_length_c 5.4070
_cell_angle_alpha 90.00
_cell_angle_beta 90.00
_cell_angle_gamma 120.00
loop_
_atom_site_label
_atom_site_type_symbol
_atom_site_fract_x
_atom_site_fract_y
_atom_site_fract_z
Hf1 Hf 0.1790 0.3580 0.2500
Ni1 Ni 0.0000 0.0000 0.0000
Sn1 Sn 0.3333 0.6667 0.7500
# - Calculated formation energy: -0.1351 eV per atom

***

No. 14
# Si2TeRh2, optimized geometry, DFT PBE-GGA
data_Si2TeRh2
_chemical_formula_sum 'Si4 Te2 Rh4'
_space_group_name_H-M_alt 'P 4/m b m'
_space_group_IT_number 127
_space_group_name_Hall '-P 4 2ab'
_cell_length_a 7.436
_cell_length_b 7.436
_cell_length_c 2.884
_cell_angle_alpha 90.00
_cell_angle_beta 90.00
_cell_angle_gamma 90.00
loop_
_atom_site_label
_atom_site_type_symbol
_atom_site_fract_x
_atom_site_fract_y
_atom_site_fract_z
Si1 Si 0.140 0.360 0.000
Te1 Te 0.000 0.000 0.500
Rh1 Rh 0.141 0.641 0.500
# - Uncorrected formation energy: -284 meV/atom

***

No. 15
# SrReIO2, optimized geometry, DFT PBE-GGA
data_SrReIO2
_chemical_formula_sum 'Sr1 Re1 I1 O2'
_space_group_name_H-M_alt 'P 4/m m m'
_space_group_IT_number 123
_space_group_name_Hall '-P 4 2'
_cell_length_a 4.109
_cell_length_b 4.109
_cell_length_c 5.867
_cell_angle_alpha 90.00
_cell_angle_beta 90.00
_cell_angle_gamma 90.00
loop_
_atom_site_label
_atom_site_type_symbol
_atom_site_fract_x
_atom_site_fract_y
_atom_site_fract_z
Sr1 Sr 0.000 0.000 0.000
Re1 Re 0.500 0.500 0.500
I1 I 0.500 0.500 0.000
O1 O 0.000 0.500 0.500
# - Uncorrected formation energy: -771 meV/atom

***

No. 16
# TbNd2Sn, optimized geometry, DFT PBE-GGA
data_TbNd2Sn
_chemical_formula_sum 'Tb4 Nd8 Sn4'
_space_group_name_H-M_alt 'F m -3 m'
_space_group_IT_number 225
_space_group_name_Hall '-F 4 2 3'
_cell_length_a 7.834
_cell_length_b 7.834
_cell_length_c 7.834
_cell_angle_alpha 90.00
_cell_angle_beta 90.00
_cell_angle_gamma 90.00
loop_
_atom_site_label
_atom_site_type_symbol
_atom_site_fract_x
_atom_site_fract_y
_atom_site_fract_z
Tb1 Tb 0.000 0.000 0.000
Nd1 Nd 0.250 0.250 0.250
Sn1 Sn 0.000 0.000 0.500
# - Calculated formation energy: -0.2614 eV per atom

***

No. 17
# Nb3As2H, optimized geometry, DFT PBE-GGA
data_Nb3As2H
_chemical_formula_sum 'Nb12 As8 H4'
_space_group_name_H-M_alt 'P n m a'
_space_group_IT_number 62
_cell_length_a 7.230
_cell_length_b 3.526
_cell_length_c 14.204
_cell_angle_alpha 90.00
_cell_angle_beta 90.00
_cell_angle_gamma 90.00
loop_
_space_group_symop_operation_xyz
'x,y,z'
'-x,-y,-z'
'-x+1/2,-y,z+1/2'
'x+1/2,y,-z+1/2'
'x+1/2,-y+1/2,-z+1/2'
'-x+1/2,y+1/2,z+1/2'
'-x,y+1/2,-z'
'x,-y+1/2,z'
loop_
_atom_site_label
_atom_site_type_symbol
_atom_site_fract_x
_atom_site_fract_y
_atom_site_fract_z
Nb1 Nb 0.004 0.250 0.098
Nb2 Nb 0.120 0.250 0.573
Nb3 Nb 0.226 0.750 0.268
As1 As 0.036 0.750 0.705
As2 As 0.245 0.750 0.451
H1 H 0.136 0.750 0.133
# - Total energy: -183.4 eV for the cell shown

***

No. 18
# LaBeCr2I, optimized geometry, DFT PBE-GGA
data_LaBeCr2I
_chemical_formula_sum 'La1 Be1 Cr2 I1'
_space_group_name_H-M_alt 'P 4/m m m'
_space_group_IT_number 123
_space_group_name_Hall '-P 4 2'
_cell_length_a 4.337
_cell_length_b 4.337
_cell_length_c 5.406
_cell_angle_alpha 90.00
_cell_angle_beta 90.00
_cell_angle_gamma 90.00
loop_
_atom_site_label
_atom_site_type_symbol
_atom_site_fract_x
_atom_site_fract_y
_atom_site_fract_z
La1 La 0.000 0.000 0.000
Be1 Be 0.000 0.000 0.500
Cr1 Cr 0.000 0.500 0.500
I1 I 0.500 0.500 0.000
# - Uncorrected formation energy: 900 meV/atom

***

No. 19
# TcH2CN, optimized geometry, DFT PBE-GGA
data_TcH2CN
_chemical_formula_sum 'Tc1 H2 C1 N1'
_space_group_name_H-M_alt 'P 4/m m m'
_space_group_IT_number 123
_space_group_name_Hall '-P 4 2'
_cell_length_a 2.835
_cell_length_b 2.835
_cell_length_c 4.598
_cell_angle_alpha 90.00
_cell_angle_beta 90.00
_cell_angle_gamma 90.00
loop_
_atom_site_label
_atom_site_type_symbol
_atom_site_fract_x
_atom_site_fract_y
_atom_site_fract_z
Tc1 Tc 0.000 0.000 0.000
H1 H 0.000 0.500 0.500
C1 C 0.500 0.500 0.000
N1 N 0.000 0.000 0.500
# - Total energy: -31.7 eV for the cell shown

***

No. 20
# ScRePt2, optimized geometry, DFT PBE-GGA
data_ScRePt2
_chemical_formula_sum 'Sc3 Re3 Pt6'
_space_group_name_H-M_alt 'R 3 m'
_space_group_IT_number 160
_space_group_name_Hall 'R 3 -2"'
_cell_length_a 2.8878
_cell_length_b 2.8878
_cell_length_c 27.3331
_cell_angle_alpha 90.00
_cell_angle_beta 90.00
_cell_angle_gamma 120.00
loop_
_atom_site_label
_atom_site_type_symbol
_atom_site_fract_x
_atom_site_fract_y
_atom_site_fract_z
Sc1 Sc 0.0000 0.0000 0.0000
Re1 Re 0.0000 0.0000 0.2470
Pt1 Pt 0.0000 0.0000 0.5021
Pt2 Pt 0.0000 0.0000 0.7476
# - Calculated formation energy: -0.1474 eV per atom